1.
VASP calculation (PBE) on an optimized crystal structure of CdAsPS2.

The calculation puts the density at 4.315 g cm⁻³. Its total energy is -3.264 eV per atom. For the uncorrected formation energy, the calculation gives 0.58 eV per atom. For the offset from the most stable computed form, the calculation gives 0.0000 eV/atom. The value obtained for the density of states at the Fermi level is 1.06 states/eV/atom.

The structure belongs to space group P4/mmm (No. 123); the cell edges are 4.753, 4.753 and 4.812 Å and the angles 90.00°, 90.00° and 90.00°. The inequivalent atoms are Cd at (0.000, 0.000, 0.000), As at (0.500, 0.500, 0.500), P at (0.500, 0.500, 0.000) and S at (0.000, 0.500, 0.500).



2.
VASP calculation (PBE) on an optimized crystal structure of CdAsPSe2.

The calculation puts the density at 4.621 g cm⁻³. Its total energy is -2.435 eV per atom. For the uncorrected formation energy, the calculation gives 1.15 eV per atom. For the offset from the most stable computed form, the calculation gives 0.7134 eV/atom. The value obtained for the density of states at the Fermi level is 1.07 states/eV/atom.

The structure belongs to space group P4/mmm (No. 123); the cell edges are 5.117, 5.117 and 5.163 Å and the angles 90.00°, 90.00° and 90.00°. The inequivalent atoms are Cd at (0.000, 0.000, 0.000), As at (0.000, 0.000, 0.500), P at (0.500, 0.500, 0.500) and Se at (0.000, 0.500, 0.000).



3.
VASP calculation (PBE) on an optimized crystal structure of CdAsPSe2.

The calculation puts the density at 5.365 g cm⁻³. Its total energy is -3.149 eV per atom. For the uncorrected formation energy, the calculation gives 0.44 eV per atom. For the offset from the most stable computed form, the calculation gives 0.0000 eV/atom. The value obtained for the density of states at the Fermi level is 1.18 states/eV/atom.

The structure belongs to space group P4/mmm (No. 123); the cell edges are 4.996, 4.996 and 4.666 Å and the angles 90.00°, 90.00° and 90.00°. The inequivalent atoms are Cd at (0.000, 0.000, 0.000), As at (0.500, 0.500, 0.000), P at (0.500, 0.500, 0.500) and Se at (0.000, 0.500, 0.500).



4.
VASP calculation (PBE) on an optimized crystal structure of CdAs2PSe.

The calculation puts the density at 5.422 g cm⁻³. Its total energy is -3.284 eV per atom. For the uncorrected formation energy, the calculation gives 0.54 eV per atom. For the offset from the most stable computed form, the calculation gives 0.0000 eV/atom. The value obtained for the density of states at the Fermi level is 0.93 states/eV/atom.

The structure belongs to space group P4/mmm (No. 123); the cell edges are 4.757, 4.757 and 5.037 Å and the angles 90.00°, 90.00° and 90.00°. The inequivalent atoms are Cd at (0.000, 0.000, 0.000), As at (0.000, 0.500, 0.500), P at (0.500, 0.500, 0.500) and Se at (0.500, 0.500, 0.000).